This record from Alexandria describes a relaxed CaWN3 crystal. The functional is PBE.

POSCAR file:
```
CaWN3
1.0
-2.0271 2.0271 7.9554
2.0271 -2.0271 7.9554
2.0271 2.0271 -7.9554
Ca W N
2 2 6
Direct
0.0968 0.0968 0.0000
0.9032 0.9032 0.0000
0.5000 0.5000 0.0000
0.7500 0.2500 0.5000
0.0145 0.5145 0.5000
0.1712 0.3362 0.8351
0.4855 0.9855 0.5000
0.5011 0.3362 0.1649
0.6638 0.4989 0.8351
0.6638 0.8288 0.1649
```

Properties
**SG**: I-4m2, No. 119



This record from Alexandria describes a relaxed CaWN3 crystal. The functional is PBE.

POSCAR file:
```
CaWN3
1.0
-1.7437 1.7437 10.9930
1.7437 -1.7437 10.9930
1.7437 1.7437 -10.9930
Ca W N
2 2 6
Direct
0.0000 0.0000 0.0000
0.7500 0.2500 0.5000
0.1307 0.6307 0.5000
0.3693 0.8693 0.5000
0.3222 0.3222 0.0000
0.4113 0.0979 0.3133
0.6778 0.6778 0.0000
0.7846 0.0979 0.6867
0.9021 0.2154 0.3133
0.9021 0.5887 0.6867
```

Properties
**SG**: I-4m2, No. 119



This record from Alexandria describes a relaxed CaWN3 crystal. The functional is PBE.

POSCAR file:
```
CaWN3
1.0
3.5440 0.0000 0.0000
0.0000 3.4730 0.0000
-0.6297 0.0000 5.4584
Ca W N
1 1 3
Direct
0.0000 0.0000 0.0000
0.5791 0.5000 0.4899
0.0962 0.5000 0.6482
0.4053 0.5000 0.8351
0.5459 0.0000 0.3291
```

Properties
**SG**: Pm, No. 6



| no. | VASP energy (eV per atom) | raw formation energy (eV per formula unit) | spin magnetization (μB per cell) |
| --- | --- | --- | --- |
| 1 | -8.249 | -1.31 | 0.00 |
| 2 | -8.112 | -0.63 | 0.00 |
| 3 | -8.340 | -1.77 | 0.00 |